[1]
# Ce2GeCl | Alexandria via LeMat-Bulk | PBE | relaxed
# Excess energy over the best structure of this formula in the dataset = 0.1079 eV per atom
data_Ce2GeCl
_chemical_formula_sum 'Ce16 Ge8 Cl8'
_cell_length_a 6.214
_cell_length_b 20.790
_cell_length_c 6.199
_cell_angle_alpha 90.00
_cell_angle_beta 90.00
_cell_angle_gamma 90.00
_space_group_name_H-M_alt 'F m m 2'
_space_group_IT_number 42
_space_group_name_Hall 'F 2 -2'
loop_
_atom_site_label
_atom_site_type_symbol
_atom_site_fract_x
_atom_site_fract_y
_atom_site_fract_z
Ce1 Ce 0.000 0.156 0.000
Ce2 Ce 0.233 0.000 0.752
Ge1 Ge 0.000 0.102 0.493
Cl1 Cl 0.250 0.250 0.248

---

[2]
# Ce2GeCl | Alexandria via LeMat-Bulk | PBE | relaxed
# Excess energy over the best structure of this formula in the dataset = 0.0172 eV per atom
data_Ce2GeCl
_chemical_formula_sum 'Ce6 Ge3 Cl3'
_cell_length_a 4.2545
_cell_length_b 4.2545
_cell_length_c 19.5049
_cell_angle_alpha 90.00
_cell_angle_beta 90.00
_cell_angle_gamma 120.00
_space_group_name_H-M_alt 'R -3 m'
_space_group_IT_number 166
_space_group_name_Hall '-R 3 2"'
loop_
_atom_site_label
_atom_site_type_symbol
_atom_site_fract_x
_atom_site_fract_y
_atom_site_fract_z
Ce1 Ce 0.0000 0.0000 0.2495
Ge1 Ge 0.0000 0.0000 0.0000
Cl1 Cl 0.0000 0.0000 0.5000

---

[3]
Material: Ce7GeCl12
Method: DFT, PBE
State: relaxed

The structure in CIF format:
```
data_Ce7GeCl12
_chemical_formula_sum 'Ce21 Ge3 Cl36'
_cell_length_a 14.9588
_cell_length_b 14.9588
_cell_length_c 9.5038
_cell_angle_alpha 90.00
_cell_angle_beta 90.00
_cell_angle_gamma 120.00
_space_group_name_H-M_alt 'R -3'
_space_group_IT_number 148
_space_group_name_Hall '-R 3'
loop_
_atom_site_label
_atom_site_type_symbol
_atom_site_fract_x
_atom_site_fract_y
_atom_site_fract_z
Ce1 Ce 0.0000 0.0000 0.0000
Ce2 Ce 0.0427 0.1717 0.3191
Ge1 Ge 0.0000 0.0000 0.5000
Cl1 Cl 0.0338 0.5855 0.1632
Cl2 Cl 0.0461 0.1836 0.8451
```

---

[4]
Material: Ce10Ge3Cl3
Method: DFT, PBE
State: relaxed

The structure in CIF format:
```
data_Ce10Ge3Cl3
_chemical_formula_sum 'Ce10 Ge3 Cl3'
_cell_length_a 8.7654
_cell_length_b 8.7654
_cell_length_c 6.0590
_cell_angle_alpha 90.00
_cell_angle_beta 90.00
_cell_angle_gamma 120.00
_space_group_name_H-M_alt 'P -6 2 m'
_space_group_IT_number 189
_space_group_name_Hall 'P -6 -2'
loop_
_atom_site_label
_atom_site_type_symbol
_atom_site_fract_x
_atom_site_fract_y
_atom_site_fract_z
Ce1 Ce 0.0000 0.2664 0.0000
Ce2 Ce 0.0000 0.7365 0.5000
Ce3 Ce 0.3333 0.6667 0.2586
Ge1 Ge 0.0000 0.3814 0.5000
Cl1 Cl 0.0000 0.6307 0.0000
```

---

[5]
Material: Ce4Ge2Cl3
Method: DFT, PBE
State: relaxed

The structure in CIF format:
```
data_Ce4Ge2Cl3
_chemical_formula_sum 'Ce8 Ge4 Cl6'
_cell_length_a 7.328
_cell_length_b 4.231
_cell_length_c 16.409
_cell_angle_alpha 90.00
_cell_angle_beta 90.20
_cell_angle_gamma 90.00
_space_group_name_H-M_alt 'C 1 2/m 1'
_space_group_IT_number 12
loop_
_space_group_symop_operation_xyz
'x,y,z'
'-x,-y,-z'
'-x,y,-z'
'x,-y,z'
'x+1/2,y+1/2,z'
'-x+1/2,-y+1/2,-z'
'-x+1/2,y+1/2,-z'
'x+1/2,-y+1/2,z'
loop_
_atom_site_label
_atom_site_type_symbol
_atom_site_fract_x
_atom_site_fract_y
_atom_site_fract_z
Ce1 Ce 0.002 0.000 0.302
Ce2 Ce 0.166 0.500 0.902
Ge1 Ge 0.168 0.500 0.200
Cl1 Cl 0.000 0.000 0.000
Cl2 Cl 0.164 0.500 0.602
```

---

[6]
Material: Ce8GeIr3Cl4
Method: DFT, PBE
State: relaxed

The structure in CIF format:
```
data_Ce8GeIr3Cl4
_chemical_formula_sum 'Ce24 Ge3 Ir9 Cl12'
_cell_length_a 8.2856
_cell_length_b 8.2856
_cell_length_c 21.1018
_cell_angle_alpha 90.00
_cell_angle_beta 90.00
_cell_angle_gamma 120.00
_space_group_name_H-M_alt 'R -3 m'
_space_group_IT_number 166
_space_group_name_Hall '-R 3 2"'
loop_
_atom_site_label
_atom_site_type_symbol
_atom_site_fract_x
_atom_site_fract_y
_atom_site_fract_z
Ce1 Ce 0.0000 0.0000 0.2390
Ce2 Ce 0.0124 0.5062 0.7598
Ge1 Ge 0.0000 0.0000 0.5000
Ir1 Ir 0.0000 0.5000 0.5000
Cl1 Cl 0.0000 0.0000 0.0000
Cl2 Cl 0.0000 0.5000 0.0000
```

---

[7]
Material: Ce4GeIrCl2
Method: DFT, PBE
State: relaxed

The structure in CIF format:
```
data_Ce4GeIrCl2
_chemical_formula_sum 'Ce4 Ge1 Ir1 Cl2'
_cell_length_a 7.120
_cell_length_b 4.132
_cell_length_c 7.380
_cell_angle_alpha 90.00
_cell_angle_beta 109.06
_cell_angle_gamma 90.00
_space_group_name_H-M_alt 'P 1 2/m 1'
_space_group_IT_number 10
loop_
_space_group_symop_operation_xyz
'x,y,z'
'-x,-y,-z'
'-x,y,-z'
'x,-y,z'
loop_
_atom_site_label
_atom_site_type_symbol
_atom_site_fract_x
_atom_site_fract_y
_atom_site_fract_z
Ce1 Ce 0.228 0.000 0.231
Ce2 Ce 0.239 0.500 0.759
Ge1 Ge 0.000 0.000 0.500
Ir1 Ir 0.000 0.500 0.000
Cl1 Cl 0.500 0.000 0.000
Cl2 Cl 0.500 0.500 0.500
```

---

[8]
Material: La2Ce2Ge2Cl3
Method: DFT, PBE
State: relaxed

The structure in CIF format:
```
data_La2Ce2Ge2Cl3
_chemical_formula_sum 'La4 Ce4 Ge4 Cl6'
_cell_length_a 5.098
_cell_length_b 5.098
_cell_length_c 18.889
_cell_angle_alpha 90.00
_cell_angle_beta 90.00
_cell_angle_gamma 90.00
_space_group_name_H-M_alt 'I 4/m m m'
_space_group_IT_number 139
_space_group_name_Hall '-I 4 2'
loop_
_atom_site_label
_atom_site_type_symbol
_atom_site_fract_x
_atom_site_fract_y
_atom_site_fract_z
La1 La 0.000 0.000 0.161
Ce1 Ce 0.000 0.500 0.000
Ge1 Ge 0.000 0.000 0.403
Cl1 Cl 0.000 0.000 0.000
Cl2 Cl 0.000 0.500 0.250
```

---

[9]
# LaCeGeCl | Alexandria via LeMat-Bulk | PBE | relaxed
# Excess energy over the best structure of this formula in the dataset = 0.0000 eV per atom
data_LaCeGeCl
_chemical_formula_sum 'La4 Ce4 Ge4 Cl4'
_cell_length_a 7.340
_cell_length_b 7.340
_cell_length_c 7.340
_cell_angle_alpha 90.00
_cell_angle_beta 90.00
_cell_angle_gamma 90.00
_space_group_name_H-M_alt 'F -4 3 m'
_space_group_IT_number 216
_space_group_name_Hall 'F -4 2 3'
loop_
_atom_site_label
_atom_site_type_symbol
_atom_site_fract_x
_atom_site_fract_y
_atom_site_fract_z
La1 La 0.000 0.000 0.000
Ce1 Ce 0.000 0.000 0.500
Ge1 Ge 0.250 0.250 0.250
Cl1 Cl 0.250 0.250 0.750

---

[10]
# LaCeGeCl | Alexandria via LeMat-Bulk | PBE | relaxed
# Excess energy over the best structure of this formula in the dataset = 0.1059 eV per atom
data_LaCeGeCl
_chemical_formula_sum 'La2 Ce2 Ge2 Cl2'
_cell_length_a 5.963
_cell_length_b 4.648
_cell_length_c 9.357
_cell_angle_alpha 90.00
_cell_angle_beta 90.00
_cell_angle_gamma 90.00
_space_group_name_H-M_alt 'A m m 2'
_space_group_IT_number 38
loop_
_space_group_symop_operation_xyz
'x,y,z'
'-x,-y,z'
'-x,y,z'
'x,-y,z'
'x,y+1/2,z+1/2'
'-x,-y+1/2,z+1/2'
'-x,y+1/2,z+1/2'
'x,-y+1/2,z+1/2'
loop_
_atom_site_label
_atom_site_type_symbol
_atom_site_fract_x
_atom_site_fract_y
_atom_site_fract_z
La1 La 0.000 0.000 0.000
Ce1 Ce 0.500 0.000 0.691
Ge1 Ge 0.500 0.000 0.003
Cl1 Cl 0.000 0.000 0.692

---

[11]
Material: CeNdGeCl
Method: DFT, PBE
State: relaxed

The structure in CIF format:
```
data_CeNdGeCl
_chemical_formula_sum 'Ce2 Nd2 Ge2 Cl2'
_cell_length_a 5.858
_cell_length_b 4.556
_cell_length_c 9.324
_cell_angle_alpha 90.00
_cell_angle_beta 90.00
_cell_angle_gamma 90.00
_space_group_name_H-M_alt 'A m m 2'
_space_group_IT_number 38
loop_
_space_group_symop_operation_xyz
'x,y,z'
'-x,-y,z'
'-x,y,z'
'x,-y,z'
'x,y+1/2,z+1/2'
'-x,-y+1/2,z+1/2'
'-x,y+1/2,z+1/2'
'x,-y+1/2,z+1/2'
loop_
_atom_site_label
_atom_site_type_symbol
_atom_site_fract_x
_atom_site_fract_y
_atom_site_fract_z
Ce1 Ce 0.000 0.000 0.000
Nd1 Nd 0.500 0.000 0.308
Ge1 Ge 0.000 0.000 0.309
Cl1 Cl 0.500 0.000 0.002
```

---

[12]
Material: CeGeClO4
Method: DFT, PBE
State: relaxed

The structure in CIF format:
```
data_CeGeClO4
_chemical_formula_sum 'Ce4 Ge4 Cl4 O16'
_cell_length_a 11.372
_cell_length_b 6.669
_cell_length_c 6.915
_cell_angle_alpha 90.00
_cell_angle_beta 102.86
_cell_angle_gamma 90.00
_space_group_name_H-M_alt 'C 1 2/m 1'
_space_group_IT_number 12
loop_
_space_group_symop_operation_xyz
'x,y,z'
'-x,-y,-z'
'-x,y,-z'
'x,-y,z'
'x+1/2,y+1/2,z'
'-x+1/2,-y+1/2,-z'
'-x+1/2,y+1/2,-z'
'x+1/2,-y+1/2,z'
loop_
_atom_site_label
_atom_site_type_symbol
_atom_site_fract_x
_atom_site_fract_y
_atom_site_fract_z
Ce1 Ce 0.208 0.000 0.341
Ge1 Ge 0.143 0.000 0.779
Cl1 Cl 0.022 0.500 0.369
O1 O 0.016 0.000 0.265
O2 O 0.197 0.197 0.645
O3 O 0.209 0.000 0.033
```

---

Computed spin magnetization (μB/atom) in order:
0.26 0.40 0.50 0.53 0.38 0.50 0.47 0.10 0.33 0.27 0.25 0.00
Computed density (g/cm³) in order:
6.44 6.33 4.00 7.11 5.30 7.59 7.25 5.48 6.50 4.96 5.24 4.06
Computed formation energy from raw total energies (meV/atom) in order:
-1061 -1152 -1861 -695 -1360 -1116 -1115 -1088 -1059 -953 -907 -2050